[1]
Here is crystalline AgTe2F11 at its relaxed geometry from Alexandria. Energies are from PBE.

Lattice parameters (Å, degrees): 8.7215 8.7215 8.7215 107.68 108.33 112.45
Fractional positions:
Ag: 0.0000 0.0000 0.0000
Ag: 0.0000 0.5000 0.5000
Te: 0.0602 0.5335 0.0267
Te: 0.3902 0.3189 0.5713
Te: 0.5068 0.0335 0.9733
Te: 0.7476 0.8189 0.4287
F: 0.0110 0.9398 0.5711
F: 0.0599 0.2921 0.9893
F: 0.0599 0.5707 0.2678
F: 0.1995 0.0865 0.3576
F: 0.1995 0.3419 0.6130
F: 0.3029 0.0707 0.0107
F: 0.3029 0.7921 0.7322
F: 0.3687 0.4398 0.4289
F: 0.3997 0.1913 0.7084
F: 0.4411 0.8681 0.0731
F: 0.4828 0.6913 0.2916
F: 0.5741 0.2921 0.5232
F: 0.5741 0.5509 0.7820
F: 0.6984 0.2266 0.2396
F: 0.6984 0.9588 0.9718
F: 0.7289 0.5865 0.3870
F: 0.7289 0.8419 0.6424
F: 0.7689 0.0509 0.4768
F: 0.7689 0.7921 0.2180
F: 0.7950 0.3681 0.9269
F: 0.9871 0.4588 0.7604
F: 0.9871 0.7266 0.0282

Properties
**Total moment**: 0.00 μB/f.u.
**Volume**: 509.6 Å³ per cell

[2]
Here is crystalline CdPb2Cl8 at its relaxed geometry from Alexandria. Energies are from PBE.

Lattice parameters (Å, degrees): 8.2027 8.2027 6.8507 97.63 97.63 60.94
Fractional positions:
Cd: 0.0000 0.0000 0.0000
Pb: 0.1754 0.1754 0.6331
Pb: 0.8246 0.8246 0.3669
Cl: 0.1477 0.7041 0.2167
Cl: 0.1686 0.1686 0.2428
Cl: 0.2959 0.8523 0.7833
Cl: 0.3520 0.3520 0.7606
Cl: 0.6480 0.6480 0.2394
Cl: 0.7041 0.1477 0.2167
Cl: 0.8314 0.8314 0.7572
Cl: 0.8523 0.2959 0.7833

Properties
**Total moment**: 1.57 μB/f.u.
**Volume**: 398.1 Å³ per cell

Number 1: calculated total energy -4.031 eV per atom. Number 2: calculated total energy -2.857 eV per atom.